# Li3Y2Pd3 (PBE-GGA, relaxed)
# * E_tot: -75.90 eV/cell
# * energy of formation: -0.463 eV per atom
data_Li3Y2Pd3
_chemical_formula_sum 'Li6 Y4 Pd6'
_symmetry_space_group_name_H-M 'P 63/m c m'
_symmetry_Int_Tables_number 193
_symmetry_space_group_name_Hall '-P 6c 2'
_cell_length_a 7.5459
_cell_length_b 7.5459
_cell_length_c 7.0130
_cell_angle_alpha 90.00
_cell_angle_beta 90.00
_cell_angle_gamma 120.00
loop_
_atom_site_label
_atom_site_fract_x
_atom_site_fract_y
_atom_site_fract_z
Li1 0.0000 0.2345 0.2500
Y1 0.3333 0.6667 0.0000
Pd1 0.0000 0.4058 0.7500



# LiYPd (PBE-GGA, relaxed)
# * offset from the most stable computed form: 106 meV/atom
# * E_tot: -15.04 eV/cell
# * energy of formation: -0.489 eV per atom
data_LiYPd
_chemical_formula_sum 'Li1 Y1 Pd1'
_symmetry_space_group_name_H-M 'P -6 m 2'
_symmetry_Int_Tables_number 187
_symmetry_space_group_name_Hall 'P -6 2'
_cell_length_a 4.3562
_cell_length_b 4.3562
_cell_length_c 3.6761
_cell_angle_alpha 90.00
_cell_angle_beta 90.00
_cell_angle_gamma 120.00
loop_
_atom_site_label
_atom_site_fract_x
_atom_site_fract_y
_atom_site_fract_z
Li1 0.0000 0.0000 0.0000
Y1 0.6667 0.3333 0.5000
Pd1 0.3333 0.6667 0.0000



# LiY2Pd3 (PBE-GGA, relaxed)
# * offset from the most stable computed form: 0 meV/atom
# * E_tot: -34.97 eV/cell
# * energy of formation: -0.758 eV per atom
data_LiY2Pd3
_chemical_formula_sum 'Li1 Y2 Pd3'
_symmetry_space_group_name_H-M 'P 4/m m m'
_symmetry_Int_Tables_number 123
_symmetry_space_group_name_Hall '-P 4 2'
_cell_length_a 3.476
_cell_length_b 3.476
_cell_length_c 9.588
_cell_angle_alpha 90.00
_cell_angle_beta 90.00
_cell_angle_gamma 90.00
loop_
_atom_site_label
_atom_site_fract_x
_atom_site_fract_y
_atom_site_fract_z
Li1 0.000 0.000 0.000
Y1 0.000 0.000 0.315
Pd1 0.500 0.500 0.146
Pd2 0.500 0.500 0.500



# LiY6Pd5 (PBE-GGA, relaxed)
# * E_tot: -150.85 eV/cell
# * energy of formation: -0.730 eV per atom
data_LiY6Pd5
_chemical_formula_sum 'Li2 Y12 Pd10'
_symmetry_space_group_name_H-M 'I m m m'
_symmetry_Int_Tables_number 71
_symmetry_space_group_name_Hall '-I 2 2'
_cell_length_a 4.994
_cell_length_b 7.065
_cell_length_c 15.018
_cell_angle_alpha 90.00
_cell_angle_beta 90.00
_cell_angle_gamma 90.00
loop_
_atom_site_label
_atom_site_fract_x
_atom_site_fract_y
_atom_site_fract_z
Li1 0.000 0.000 0.000
Y1 0.000 0.241 0.500
Y2 0.000 0.254 0.170
Pd1 0.000 0.000 0.330
Pd2 0.000 0.500 0.000
Pd3 0.000 0.500 0.343



no.,spin magnetization (μB per formula unit),V (Å³/atom)
1,0.00,21.61
2,0.00,20.14
3,0.00,19.31
4,0.00,22.08